Below is a relaxed structure of MgMnO2, with properties calculated at the GGA+U level.

a b c (Å): 4.7333 4.7333 9.4195
angles (deg): 90.00 90.00 90.00
Space group I-42d (No. 122)
Asymmetric unit:
Mg  0.0000  0.0000  0.0000 (multiplicity 4)
Mn  0.0000  0.0000  0.5000 (multiplicity 4)
O  0.2321  0.2500  0.1250 (multiplicity 8)

- calculated total energy (eV per atom) = -6.8169
- size of the total moment (μB/cell) = 20.00

Below is a relaxed structure of MgMnO3, with properties calculated at the GGA+U level.

a b c (Å): 5.2312 7.3254 5.0078
angles (deg): 90.00 90.00 90.00
Space group Pnma (No. 62)
Asymmetric unit:
Mg  0.0651  0.2500  0.0203 (multiplicity 4)
Mn  0.0000  0.0000  0.5000 (multiplicity 4)
O  0.0577  0.7500  0.3707 (multiplicity 4)
O  0.1953  0.5682  0.8105 (multiplicity 8)

- calculated total energy (eV per atom) = -6.6584
- size of the total moment (μB/cell) = 11.99

Below is a relaxed structure of Mg2Mn2O5, with properties calculated at the GGA+U level.

a b c (Å): 5.3766 10.5211 3.6524
angles (deg): 90.00 90.00 90.00
Space group Pbam (No. 55)
Asymmetric unit:
Mg  0.2268  0.1000  0.0000 (multiplicity 4)
Mn  0.2309  0.8679  0.5000 (multiplicity 4)
O  0.0000  0.5000  0.5000 (multiplicity 2)
O  0.1283  0.1853  0.5000 (multiplicity 4)
O  0.1770  0.9072  0.0000 (multiplicity 4)

- calculated total energy (eV per atom) = -6.6275
- size of the total moment (μB/cell) = 16.00
- offset from the most stable computed form (meV per atom) = 97